No. 1
! LaZr2Tc2 | Alexandria | meta-GGA SCAN | single point on PBEsol structure; values from VASP
&SYSTEM
  ibrav = 0, nat = 5, ntyp = 3
/
ATOMIC_SPECIES
Tc 98.00 Tc.upf
Zr 91.22 Zr.upf
La 138.91 La.upf
ATOMIC_POSITIONS crystal
Tc 0.391 0.391 0.783
Tc 0.609 0.609 0.217
Zr 0.250 0.750 0.500
Zr 0.750 0.250 0.500
La 0.000 0.000 0.000
CELL_PARAMETERS angstrom
4.400 0.000 0.000
0.000 4.400 0.000
-2.200 -2.200 5.657
! * E_form: -0.07 eV per atom
! * total magnetic moment: 0.00 μB per cell

No. 2
! Fe2SiPb | Alexandria | meta-GGA SCAN | single point on PBEsol structure; values from VASP
&SYSTEM
  ibrav = 0, nat = 4, ntyp = 3
/
ATOMIC_SPECIES
Fe 55.84 Fe.upf
Pb 207.20 Pb.upf
Si 28.09 Si.upf
ATOMIC_POSITIONS crystal
Fe 0.000 0.000 0.000
Fe 0.750 0.750 0.750
Pb 0.500 0.500 0.500
Si 0.250 0.250 0.250
CELL_PARAMETERS angstrom
4.419 0.000 0.000
2.209 3.827 0.000
2.209 1.276 3.608
! * total magnetic moment: 4.83 μB per cell
! * offset from the most stable computed form: 453 meV/atom

No. 3
! Ba5Sr24 | Alexandria | meta-GGA SCAN | single point on PBEsol structure; values from VASP
&SYSTEM
  ibrav = 0, nat = 29, ntyp = 2
/
ATOMIC_SPECIES
Ba 137.33 Ba.upf
Sr 87.62 Sr.upf
ATOMIC_POSITIONS crystal
Ba 0.363 0.363 0.363
Ba 0.000 0.637 0.000
Ba 0.000 0.000 0.637
Ba 0.637 0.000 0.000
Ba 0.000 0.000 0.000
Sr 0.621 0.812 0.621
Sr 0.809 0.188 0.809
Sr 0.191 0.000 0.379
Sr 0.379 0.000 0.191
Sr 0.812 0.621 0.621
Sr 0.188 0.809 0.809
Sr 0.000 0.379 0.191
Sr 0.000 0.191 0.379
Sr 0.621 0.621 0.812
Sr 0.809 0.809 0.188
Sr 0.379 0.191 0.000
Sr 0.191 0.379 0.000
Sr 0.594 0.274 0.594
Sr 0.319 0.726 0.319
Sr 0.681 0.000 0.406
Sr 0.406 0.000 0.681
Sr 0.274 0.594 0.594
Sr 0.726 0.319 0.319
Sr 0.000 0.406 0.681
Sr 0.000 0.681 0.406
Sr 0.594 0.594 0.274
Sr 0.319 0.319 0.726
Sr 0.406 0.681 0.000
Sr 0.681 0.406 0.000
CELL_PARAMETERS angstrom
12.689 0.000 0.000
-4.230 11.963 0.000
-4.230 -5.982 10.360
! * E_form: 0.05 eV per atom
! * total magnetic moment: 1.32 μB per cell

No. 4
! LiNiIr2 | Alexandria | meta-GGA SCAN | single point on PBEsol structure; values from VASP
&SYSTEM
  ibrav = 0, nat = 4, ntyp = 3
/
ATOMIC_SPECIES
Ni 58.69 Ni.upf
Ir 192.22 Ir.upf
Li 6.94 Li.upf
ATOMIC_POSITIONS crystal
Ni 0.250 0.750 0.500
Ir 0.000 0.000 0.000
Ir 0.750 0.250 0.500
Li 0.500 0.500 0.000
CELL_PARAMETERS angstrom
3.663 0.000 0.000
0.000 3.663 0.000
-1.832 -1.832 3.652
! * E_form: -0.12 eV per atom
! * total magnetic moment: 0.00 μB per cell
! * offset from the most stable computed form: 12 meV/atom

No. 5
! Hf3ReF | Alexandria | meta-GGA SCAN | single point on PBEsol structure; values from VASP
&SYSTEM
  ibrav = 0, nat = 5, ntyp = 3
/
ATOMIC_SPECIES
Re 186.21 Re.upf
Hf 178.49 Hf.upf
F 19.00 F.upf
ATOMIC_POSITIONS crystal
Re 0.500 0.500 0.500
Hf 0.000 0.500 0.000
Hf 0.000 0.000 0.500
Hf 0.500 0.000 0.000
F 0.000 0.000 0.000
CELL_PARAMETERS angstrom
-3.403 2.221 -1.609
-2.735 -2.933 1.737
-0.197 2.360 3.674
! * calculated total energy: -52.92 eV per atom
! * total magnetic moment: 0.00 μB per cell

No. 6
! TlInS2N | Alexandria | meta-GGA SCAN | single point on PBEsol structure; values from VASP
&SYSTEM
  ibrav = 0, nat = 5, ntyp = 4
/
ATOMIC_SPECIES
Tl 204.38 Tl.upf
N 14.01 N.upf
S 32.06 S.upf
In 114.82 In.upf
ATOMIC_POSITIONS crystal
Tl 0.500 0.500 0.500
N 0.500 0.000 0.000
S 0.000 0.000 0.500
S 0.000 0.500 0.000
In 0.000 0.000 0.000
CELL_PARAMETERS angstrom
-1.698 0.273 3.859
-0.752 -5.064 0.028
4.627 -0.676 2.084
! * calculated total energy: -26.35 eV per atom
! * total magnetic moment: 3.01 μB per cell

No. 7
! Mn2ZnSi | Alexandria | meta-GGA SCAN | single point on PBEsol structure; values from VASP
&SYSTEM
  ibrav = 0, nat = 4, ntyp = 3
/
ATOMIC_SPECIES
Mn 54.94 Mn.upf
Si 28.09 Si.upf
Zn 65.41 Zn.upf
ATOMIC_POSITIONS crystal
Mn 0.000 0.000 0.500
Mn 0.000 0.500 0.000
Si 0.500 0.500 0.500
Zn 0.500 0.000 0.000
CELL_PARAMETERS angstrom
-1.683 -1.642 -1.378
2.292 -3.241 1.064
-2.279 -0.502 3.383
! * calculated total energy: -15.17 eV per atom
! * total magnetic moment: 4.97 μB per cell

No. 8
! PrNi4B | Alexandria | meta-GGA SCAN | single point on PBEsol structure; values from VASP
&SYSTEM
  ibrav = 0, nat = 12, ntyp = 3
/
ATOMIC_SPECIES
Pr 140.91 Pr.upf
Ni 58.69 Ni.upf
B 10.81 B.upf
ATOMIC_POSITIONS crystal
Pr 0.000 0.000 0.500
Pr 0.000 0.000 0.000
Ni 0.333 0.667 0.000
Ni 0.667 0.333 0.000
Ni 0.500 0.000 0.292
Ni 0.500 0.500 0.292
Ni 0.000 0.500 0.292
Ni 0.500 0.000 0.708
Ni 0.500 0.500 0.708
Ni 0.000 0.500 0.708
B 0.667 0.333 0.500
B 0.333 0.667 0.500
CELL_PARAMETERS angstrom
-2.929 -1.441 -3.790
4.915 0.586 -0.720
1.039 -6.608 1.709
! * E_form: -0.38 eV per atom
! * total magnetic moment: 0.00 μB per cell

No. 9
! TaGaSe2N | Alexandria | meta-GGA SCAN | single point on PBEsol structure; values from VASP
&SYSTEM
  ibrav = 0, nat = 5, ntyp = 4
/
ATOMIC_SPECIES
N 14.01 N.upf
Ga 69.72 Ga.upf
Se 78.96 Se.upf
Ta 180.95 Ta.upf
ATOMIC_POSITIONS crystal
N 0.500 0.000 0.000
Ga 0.500 0.500 0.500
Se 0.000 0.000 0.500
Se 0.000 0.500 0.000
Ta 0.000 0.000 0.000
CELL_PARAMETERS angstrom
3.891 0.000 0.000
0.000 5.122 0.000
0.000 0.000 5.122
! * calculated total energy: -26.60 eV per atom
! * total magnetic moment: 0.00 μB per cell

No. 10
! TaCu2Cl | Alexandria | meta-GGA SCAN | single point on PBEsol structure; values from VASP
&SYSTEM
  ibrav = 0, nat = 4, ntyp = 3
/
ATOMIC_SPECIES
Cl 35.45 Cl.upf
Cu 63.55 Cu.upf
Ta 180.95 Ta.upf
ATOMIC_POSITIONS crystal
Cl 0.500 0.500 0.500
Cu 0.000 0.000 0.000
Cu 0.250 0.250 0.250
Ta 0.750 0.750 0.750
CELL_PARAMETERS angstrom
-2.004 -2.683 2.668
-3.241 -2.410 -1.422
0.508 -4.229 -0.436
! * total magnetic moment: 0.00 μB per cell
! * offset from the most stable computed form: 324 meV/atom

No. 11
! La2Nb3S2O8 | Alexandria | meta-GGA SCAN | single point on PBEsol structure; values from VASP
&SYSTEM
  ibrav = 0, nat = 60, ntyp = 4
/
ATOMIC_SPECIES
La 138.91 La.upf
Nb 92.91 Nb.upf
S 32.06 S.upf
O 16.00 O.upf
ATOMIC_POSITIONS crystal
La 0.000 0.231 0.350
La 0.000 0.769 0.650
La 0.500 0.269 0.850
La 0.500 0.731 0.150
La 0.000 0.706 0.160
La 0.000 0.294 0.840
La 0.500 0.794 0.660
La 0.500 0.206 0.340
Nb 0.250 0.364 0.085
Nb 0.750 0.636 0.915
Nb 0.250 0.636 0.915
Nb 0.250 0.136 0.585
Nb 0.750 0.364 0.085
Nb 0.750 0.864 0.415
Nb 0.250 0.864 0.415
Nb 0.750 0.136 0.585
Nb 0.212 0.000 0.000
Nb 0.788 0.000 0.000
Nb 0.288 0.500 0.500
Nb 0.712 0.500 0.500
S 0.000 0.019 0.156
S 0.000 0.981 0.844
S 0.500 0.481 0.656
S 0.500 0.519 0.344
S 0.000 0.521 0.367
S 0.000 0.479 0.633
S 0.500 0.979 0.867
S 0.500 0.021 0.133
O 0.000 0.367 0.051
O 0.000 0.633 0.949
O 0.500 0.133 0.551
O 0.500 0.867 0.449
O 0.249 0.285 0.227
O 0.751 0.715 0.773
O 0.249 0.715 0.773
O 0.251 0.215 0.727
O 0.751 0.285 0.227
O 0.749 0.785 0.273
O 0.251 0.785 0.273
O 0.749 0.215 0.727
O 0.000 0.151 0.549
O 0.000 0.849 0.451
O 0.500 0.349 0.049
O 0.500 0.651 0.951
O 0.265 0.302 0.474
O 0.735 0.698 0.526
O 0.265 0.698 0.526
O 0.235 0.198 0.974
O 0.735 0.302 0.474
O 0.765 0.802 0.026
O 0.235 0.802 0.026
O 0.765 0.198 0.974
O 0.243 0.056 0.395
O 0.757 0.944 0.605
O 0.243 0.944 0.605
O 0.257 0.444 0.895
O 0.757 0.056 0.395
O 0.743 0.556 0.105
O 0.257 0.556 0.105
O 0.743 0.444 0.895
CELL_PARAMETERS angstrom
7.639 0.000 0.000
0.000 9.880 0.000
0.000 0.000 11.783
! * calculated total energy: -19.90 eV per atom
! * total magnetic moment: 0.00 μB per cell

No. 12
! SiSbRu2 | Alexandria | meta-GGA SCAN | single point on PBEsol structure; values from VASP
&SYSTEM
  ibrav = 0, nat = 4, ntyp = 3
/
ATOMIC_SPECIES
Ru 101.07 Ru.upf
Sb 121.76 Sb.upf
Si 28.09 Si.upf
ATOMIC_POSITIONS crystal
Ru 0.761 0.523 0.774
Ru 0.239 0.477 0.226
Sb 0.000 0.000 0.500
Si 0.500 0.000 0.000
CELL_PARAMETERS angstrom
-2.635 0.247 1.345
2.696 -2.267 2.422
1.135 4.904 1.323
! * calculated total energy: -29.32 eV per atom
! * total magnetic moment: 0.00 μB per cell

No. 13
! La2AlCo | Alexandria | meta-GGA SCAN | single point on PBEsol structure; values from VASP
&SYSTEM
  ibrav = 0, nat = 4, ntyp = 3
/
ATOMIC_SPECIES
Co 58.93 Co.upf
Al 26.98 Al.upf
La 138.91 La.upf
ATOMIC_POSITIONS crystal
Co 0.416 0.500 0.705
Al 0.323 0.000 0.513
La 0.009 0.000 0.919
La 0.753 0.500 0.364
CELL_PARAMETERS angstrom
3.903 0.000 -0.004
0.000 4.444 0.000
-1.743 0.000 5.766
! * E_form: -0.10 eV per atom
! * total magnetic moment: 0.00 μB per cell

No. 14
! Na6FeCl8 | Alexandria | meta-GGA SCAN | single point on PBEsol structure; values from VASP
&SYSTEM
  ibrav = 0, nat = 15, ntyp = 3
/
ATOMIC_SPECIES
Na 22.99 Na.upf
Fe 55.84 Fe.upf
Cl 35.45 Cl.upf
ATOMIC_POSITIONS crystal
Na 0.500 0.000 0.000
Na 0.000 0.500 0.500
Na 0.500 0.000 0.500
Na 0.000 0.500 0.000
Na 0.500 0.500 0.000
Na 0.000 0.000 0.500
Fe 0.000 0.000 0.000
Cl 0.250 0.250 0.250
Cl 0.750 0.750 0.750
Cl 0.777 0.223 0.223
Cl 0.223 0.777 0.777
Cl 0.777 0.223 0.777
Cl 0.223 0.777 0.223
Cl 0.777 0.777 0.223
Cl 0.223 0.223 0.777
CELL_PARAMETERS angstrom
-5.240 -5.695 -1.268
2.119 -6.490 -3.859
0.613 -6.816 3.830
! * calculated total energy: -8.96 eV per atom
! * total magnetic moment: 4.00 μB per cell

No. 15
! CaZnBr2 | Alexandria | meta-GGA SCAN | single point on PBEsol structure; values from VASP
&SYSTEM
  ibrav = 0, nat = 4, ntyp = 3
/
ATOMIC_SPECIES
Zn 65.41 Zn.upf
Ca 40.08 Ca.upf
Br 79.90 Br.upf
ATOMIC_POSITIONS crystal
Zn 0.500 0.500 0.000
Ca 0.500 0.500 0.500
Br 0.000 0.998 0.692
Br 0.000 0.002 0.308
CELL_PARAMETERS angstrom
-1.490 3.258 0.285
-1.368 -0.906 3.197
7.173 2.936 3.920
! * calculated total energy: -16.73 eV per atom
! * total magnetic moment: 0.00 μB per cell

No. 16
! SrTa2Br | Alexandria | meta-GGA SCAN | single point on PBEsol structure; values from VASP
&SYSTEM
  ibrav = 0, nat = 4, ntyp = 3
/
ATOMIC_SPECIES
Sr 87.62 Sr.upf
Br 79.90 Br.upf
Ta 180.95 Ta.upf
ATOMIC_POSITIONS crystal
Sr 0.000 0.500 0.500
Br 0.500 0.000 0.500
Ta 0.000 0.000 0.000
Ta 0.500 0.500 0.000
CELL_PARAMETERS angstrom
-0.322 2.852 1.489
-4.003 0.701 -2.208
-3.089 -2.807 4.708
! * total magnetic moment: 0.00 μB per cell
! * offset from the most stable computed form: 498 meV/atom

No. 17
! BeSnTe3 | Alexandria | meta-GGA SCAN | single point on PBEsol structure; values from VASP
&SYSTEM
  ibrav = 0, nat = 5, ntyp = 3
/
ATOMIC_SPECIES
Be 9.01 Be.upf
Te 127.60 Te.upf
Sn 118.71 Sn.upf
ATOMIC_POSITIONS crystal
Be 0.500 0.500 0.500
Te 0.000 0.500 0.000
Te 0.000 0.000 0.500
Te 0.500 0.000 0.000
Sn 0.000 0.000 0.000
CELL_PARAMETERS angstrom
5.594 0.000 0.000
0.000 5.594 0.000
0.000 0.000 5.594
! * calculated total energy: -29.36 eV per atom
! * total magnetic moment: 0.00 μB per cell

No. 18
! Cs2MgP4H8O16 | Alexandria | meta-GGA SCAN | single point on PBEsol structure; values from VASP
&SYSTEM
  ibrav = 0, nat = 31, ntyp = 5
/
ATOMIC_SPECIES
Cs 132.91 Cs.upf
Mg 24.30 Mg.upf
P 30.97 P.upf
H 1.01 H.upf
O 16.00 O.upf
ATOMIC_POSITIONS crystal
Cs 0.089 0.706 0.284
Cs 0.911 0.294 0.716
Mg 0.500 0.500 0.500
P 0.362 0.250 0.240
P 0.766 0.198 0.251
P 0.234 0.802 0.749
P 0.638 0.750 0.760
H 0.100 0.253 0.093
H 0.620 0.697 0.150
H 0.629 0.826 0.299
H 0.272 0.026 0.468
H 0.728 0.974 0.532
H 0.371 0.174 0.701
H 0.380 0.303 0.850
H 0.900 0.747 0.907
O 0.960 0.210 0.082
O 0.289 0.309 0.081
O 0.602 0.223 0.146
O 0.581 0.707 0.283
O 0.268 0.061 0.332
O 0.732 0.008 0.353
O 0.749 0.347 0.369
O 0.328 0.382 0.379
O 0.672 0.618 0.621
O 0.251 0.653 0.631
O 0.268 0.992 0.647
O 0.732 0.939 0.668
O 0.419 0.293 0.717
O 0.398 0.777 0.854
O 0.711 0.691 0.919
O 0.040 0.790 0.918
CELL_PARAMETERS angstrom
-0.115 4.910 -5.045
-3.360 -4.663 -4.749
-6.999 3.587 -0.024
! * calculated total energy: -10.08 eV per atom
! * total magnetic moment: 0.00 μB per cell

No. 19
! TiFeMo2 | Alexandria | meta-GGA SCAN | single point on PBEsol structure; values from VASP
&SYSTEM
  ibrav = 0, nat = 4, ntyp = 3
/
ATOMIC_SPECIES
Mo 95.94 Mo.upf
Fe 55.84 Fe.upf
Ti 47.87 Ti.upf
ATOMIC_POSITIONS crystal
Mo 0.250 0.250 0.250
Mo 0.750 0.750 0.750
Fe 0.500 0.500 0.500
Ti 0.000 0.000 0.000
CELL_PARAMETERS angstrom
-1.958 3.765 -0.564
-3.992 0.127 -1.544
-3.247 1.127 2.552
! * E_form: 0.12 eV per atom
! * total magnetic moment: 1.24 μB per cell

No. 20
! CsLa2Br7 | Alexandria | meta-GGA SCAN | single point on PBEsol structure; values from VASP
&SYSTEM
  ibrav = 0, nat = 40, ntyp = 3
/
ATOMIC_SPECIES
Cs 132.91 Cs.upf
La 138.91 La.upf
Br 79.90 Br.upf
ATOMIC_POSITIONS crystal
Cs 0.250 0.810 0.054
Cs 0.750 0.190 0.946
Cs 0.750 0.310 0.446
Cs 0.250 0.690 0.554
La 0.250 0.465 0.234
La 0.750 0.535 0.766
La 0.750 0.965 0.266
La 0.250 0.035 0.734
La 0.250 0.162 0.247
La 0.750 0.838 0.753
La 0.750 0.662 0.253
La 0.250 0.338 0.747
Br 0.000 0.311 0.172
Br 0.000 0.689 0.828
Br 0.000 0.811 0.328
Br 0.500 0.689 0.828
Br 0.000 0.189 0.672
Br 0.500 0.311 0.172
Br 0.500 0.189 0.672
Br 0.500 0.811 0.328
Br 0.009 0.584 0.113
Br 0.991 0.416 0.887
Br 0.991 0.084 0.387
Br 0.509 0.416 0.887
Br 0.009 0.916 0.613
Br 0.491 0.584 0.113
Br 0.491 0.916 0.613
Br 0.509 0.084 0.387
Br 0.008 0.043 0.126
Br 0.992 0.957 0.874
Br 0.992 0.543 0.374
Br 0.508 0.957 0.874
Br 0.008 0.457 0.626
Br 0.492 0.043 0.126
Br 0.492 0.457 0.626
Br 0.508 0.543 0.374
Br 0.250 0.318 0.398
Br 0.750 0.682 0.602
Br 0.750 0.818 0.102
Br 0.250 0.182 0.898
CELL_PARAMETERS angstrom
7.565 0.000 0.000
0.000 13.794 0.000
0.000 0.000 13.859
! * calculated total energy: -28.25 eV per atom
! * total magnetic moment: 0.00 μB per cell